First-principles (PBE) data for a relaxed structure of Sm4Y3Sc, as listed in Alexandria via LeMat-Bulk.

```
data_Sm4Y3Sc
_chemical_formula_sum 'Sm8 Y6 Sc2'
_space_group_name_H-M_alt 'P 1'
_space_group_IT_number 1
_cell_length_a 8.845
_cell_length_b 8.845
_cell_length_c 9.005
_cell_angle_alpha 119.41
_cell_angle_beta 119.41
_cell_angle_gamma 90.00
loop_
_space_group_symop_operation_xyz
'x,y,z'
loop_
_atom_site_label
_atom_site_type_symbol
_atom_site_fract_x
_atom_site_fract_y
_atom_site_fract_z
_atom_site_occupancy
Sm1 Sm 0.015 0.812 0.327 1
Sm2 Sm 0.188 0.688 0.673 1
Sm3 Sm 0.515 0.015 0.327 1
Sm4 Sm 0.312 0.515 0.327 1
Sm5 Sm 0.812 0.312 0.327 1
Sm6 Sm 0.688 0.485 0.673 1
Sm7 Sm 0.485 0.985 0.673 1
Sm8 Sm 0.985 0.188 0.673 1
Sc1 Sc 0.000 0.000 0.000 1
Sc2 Sc 0.500 0.500 0.000 1
Y1 Y 0.750 0.750 0.500 1
Y2 Y 0.153 0.653 0.000 1
Y3 Y 0.653 0.847 0.000 1
Y4 Y 0.847 0.347 0.000 1
Y5 Y 0.347 0.153 0.000 1
Y6 Y 0.250 0.250 0.500 1
```

Properties
Density (g cm⁻³): 5.98
E_form (kJ per mole of atoms): 9
Total magnetization (μB/atom): 0.000
E (eV/atom): -5.48
Energy relative to the lowest polymorph listed for this composition (meV/atom): 67